Model a:
Material: La6Y12Er
Method: DFT, PBE-GGA
State: optimized geometry

```
data_La6Y12Er
_symmetry_space_group_name_H-M 'R -3 m'
_symmetry_Int_Tables_number 166
_symmetry_space_group_name_Hall '-R 3 2"'
_cell_length_a 11.2339
_cell_length_b 11.2339
_cell_length_c 17.9253
_cell_angle_alpha 90.00
_cell_angle_beta 90.00
_cell_angle_gamma 120.00
loop_
_atom_site_label
_atom_site_type_symbol
_atom_site_fract_x
_atom_site_fract_y
_atom_site_fract_z
La1 La 0.0700 0.5350 0.2671
Y1 Y 0.1024 0.5512 0.9119
Y2 Y 0.1061 0.2122 0.9073
Er1 Er 0.0000 0.0000 0.5000
```

Model b:
Material: La6Y12Er
Method: DFT, PBE-GGA
State: optimized geometry

```
data_La6Y12Er
_symmetry_space_group_name_H-M 'R -3 m'
_symmetry_Int_Tables_number 166
_symmetry_space_group_name_Hall '-R 3 2"'
_cell_length_a 13.4896
_cell_length_b 13.4896
_cell_length_c 12.6936
_cell_angle_alpha 90.00
_cell_angle_beta 90.00
_cell_angle_gamma 120.00
loop_
_atom_site_label
_atom_site_type_symbol
_atom_site_fract_x
_atom_site_fract_y
_atom_site_fract_z
La1 La 0.0413 0.5206 0.1153
Y1 Y 0.0000 0.2554 0.0000
Y2 Y 0.0908 0.1817 0.7616
Er1 Er 0.0000 0.0000 0.5000
```

model a wins, 83 meV per atom ahead of the next structure.

Model a:
Material: La7Y2Er2
Method: DFT, PBE-GGA
State: optimized geometry

```
data_La7Y2Er2
_symmetry_space_group_name_H-M 'P -1'
_symmetry_Int_Tables_number 2
_cell_length_a 5.829
_cell_length_b 7.057
_cell_length_c 9.615
_cell_angle_alpha 96.80
_cell_angle_beta 90.04
_cell_angle_gamma 90.01
loop_
_symmetry_equiv_pos_as_xyz
'x,y,z'
'-x,-y,-z'
loop_
_atom_site_label
_atom_site_type_symbol
_atom_site_fract_x
_atom_site_fract_y
_atom_site_fract_z
La1 La 0.000 0.000 0.000
La2 La 0.000 0.452 0.826
La3 La 0.500 0.011 0.689
La4 La 0.500 0.466 0.653
Y1 Y 0.500 0.273 0.017
Er1 Er 0.000 0.254 0.460
```

Model b:
Material: La7Y2Er2
Method: DFT, PBE-GGA
State: optimized geometry

```
data_La7Y2Er2
_symmetry_space_group_name_H-M 'C 1 2/m 1'
_symmetry_Int_Tables_number 12
_cell_length_a 11.550
_cell_length_b 11.632
_cell_length_c 6.216
_cell_angle_alpha 90.00
_cell_angle_beta 111.65
_cell_angle_gamma 90.00
loop_
_symmetry_equiv_pos_as_xyz
'x,y,z'
'-x,-y,-z'
'-x,y,-z'
'x,-y,z'
'x+1/2,y+1/2,z'
'-x+1/2,-y+1/2,-z'
'-x+1/2,y+1/2,-z'
'x+1/2,-y+1/2,z'
loop_
_atom_site_label
_atom_site_type_symbol
_atom_site_fract_x
_atom_site_fract_y
_atom_site_fract_z
La1 La 0.000 0.000 0.000
La2 La 0.075 0.500 0.803
La3 La 0.184 0.232 0.182
Y1 Y 0.000 0.209 0.500
Er1 Er 0.230 0.000 0.586
```

model b wins, 8 meV per atom ahead of the next structure.

Model a:
Material: La2YEr3
Method: DFT, PBE-GGA
State: optimized geometry

```
data_La2YEr3
_symmetry_space_group_name_H-M 'C 1 2/m 1'
_symmetry_Int_Tables_number 12
_cell_length_a 17.861
_cell_length_b 3.495
_cell_length_c 14.339
_cell_angle_alpha 90.00
_cell_angle_beta 116.76
_cell_angle_gamma 90.00
loop_
_symmetry_equiv_pos_as_xyz
'x,y,z'
'-x,-y,-z'
'-x,y,-z'
'x,-y,z'
'x+1/2,y+1/2,z'
'-x+1/2,-y+1/2,-z'
'-x+1/2,y+1/2,-z'
'x+1/2,-y+1/2,z'
loop_
_atom_site_label
_atom_site_type_symbol
_atom_site_fract_x
_atom_site_fract_y
_atom_site_fract_z
La1 La 0.154 0.000 0.469
La2 La 0.185 0.500 0.879
Y1 Y 0.062 0.000 0.643
Er1 Er 0.039 0.500 0.205
Er2 Er 0.098 0.000 0.027
Er3 Er 0.236 0.000 0.293
```

Model b:
Material: La2YEr3
Method: DFT, PBE-GGA
State: optimized geometry

```
data_La2YEr3
_symmetry_space_group_name_H-M 'C 1 2/c 1'
_symmetry_Int_Tables_number 15
_cell_length_a 10.335
_cell_length_b 11.552
_cell_length_c 6.719
_cell_angle_alpha 90.00
_cell_angle_beta 92.48
_cell_angle_gamma 90.00
loop_
_symmetry_equiv_pos_as_xyz
'x,y,z'
'-x,-y,-z'
'-x,y,-z+1/2'
'x,-y,z+1/2'
'x+1/2,y+1/2,z'
'-x+1/2,-y+1/2,-z'
'-x+1/2,y+1/2,-z+1/2'
'x+1/2,-y+1/2,z+1/2'
loop_
_atom_site_label
_atom_site_type_symbol
_atom_site_fract_x
_atom_site_fract_y
_atom_site_fract_z
La1 La 0.170 0.242 0.240
Y1 Y 0.000 0.000 0.000
Er1 Er 0.000 0.270 0.750
Er2 Er 0.165 0.497 0.501
```

model a wins, 69 meV per atom ahead of the next structure.

Model a:
Material: La2Y4Er5
Method: DFT, PBE-GGA
State: optimized geometry

```
data_La2Y4Er5
_symmetry_space_group_name_H-M 'C 1 2/m 1'
_symmetry_Int_Tables_number 12
_cell_length_a 17.242
_cell_length_b 3.531
_cell_length_c 11.814
_cell_angle_alpha 90.00
_cell_angle_beta 95.09
_cell_angle_gamma 90.00
loop_
_symmetry_equiv_pos_as_xyz
'x,y,z'
'-x,-y,-z'
'-x,y,-z'
'x,-y,z'
'x+1/2,y+1/2,z'
'-x+1/2,-y+1/2,-z'
'-x+1/2,y+1/2,-z'
'x+1/2,-y+1/2,z'
loop_
_atom_site_label
_atom_site_type_symbol
_atom_site_fract_x
_atom_site_fract_y
_atom_site_fract_z
La1 La 0.133 0.000 0.313
Y1 Y 0.178 0.500 0.578
Y2 Y 0.231 0.000 0.858
Er1 Er 0.000 0.000 0.500
Er2 Er 0.044 0.500 0.788
Er3 Er 0.091 0.000 0.043
```

Model b:
Material: La2Y4Er5
Method: DFT, PBE-GGA
State: optimized geometry

```
data_La2Y4Er5
_symmetry_space_group_name_H-M 'C 1 2/m 1'
_symmetry_Int_Tables_number 12
_cell_length_a 23.899
_cell_length_b 3.518
_cell_length_c 8.693
_cell_angle_alpha 90.00
_cell_angle_beta 94.40
_cell_angle_gamma 90.00
loop_
_symmetry_equiv_pos_as_xyz
'x,y,z'
'-x,-y,-z'
'-x,y,-z'
'x,-y,z'
'x+1/2,y+1/2,z'
'-x+1/2,-y+1/2,-z'
'-x+1/2,y+1/2,-z'
'x+1/2,-y+1/2,z'
loop_
_atom_site_label
_atom_site_type_symbol
_atom_site_fract_x
_atom_site_fract_y
_atom_site_fract_z
La1 La 0.227 0.000 0.324
Y1 Y 0.041 0.500 0.842
Y2 Y 0.087 0.000 0.192
Er1 Er 0.000 0.000 0.500
Er2 Er 0.128 0.500 0.542
Er3 Er 0.184 0.500 0.972
```

model a wins, 46 meV per atom ahead of the next structure.

Model a:
Material: La3Y8Er2
Method: DFT, PBE-GGA
State: optimized geometry

```
data_La3Y8Er2
_symmetry_space_group_name_H-M 'P -1'
_symmetry_Int_Tables_number 2
_cell_length_a 6.363
_cell_length_b 8.197
_cell_length_c 17.812
_cell_angle_alpha 78.25
_cell_angle_beta 85.41
_cell_angle_gamma 74.12
loop_
_symmetry_equiv_pos_as_xyz
'x,y,z'
'-x,-y,-z'
loop_
_atom_site_label
_atom_site_type_symbol
_atom_site_fract_x
_atom_site_fract_y
_atom_site_fract_z
La1 La 0.000 0.000 0.000
La2 La 0.000 0.000 0.500
La3 La 0.411 0.626 0.239
La4 La 0.489 0.818 0.696
Y1 Y 0.036 0.612 0.740
Y2 Y 0.110 0.940 0.332
Y3 Y 0.134 0.539 0.076
Y4 Y 0.172 0.148 0.800
Y5 Y 0.301 0.690 0.888
Y6 Y 0.339 0.620 0.562
Y7 Y 0.368 0.194 0.582
Y8 Y 0.428 0.230 0.959
Er1 Er 0.126 0.501 0.415
Er2 Er 0.263 0.085 0.150
```

Model b:
Material: La3Y8Er2
Method: DFT, PBE-GGA
State: optimized geometry

```
data_La3Y8Er2
_symmetry_space_group_name_H-M 'C 1 2/m 1'
_symmetry_Int_Tables_number 12
_cell_length_a 20.157
_cell_length_b 7.791
_cell_length_c 5.707
_cell_angle_alpha 90.00
_cell_angle_beta 90.12
_cell_angle_gamma 90.00
loop_
_symmetry_equiv_pos_as_xyz
'x,y,z'
'-x,-y,-z'
'-x,y,-z'
'x,-y,z'
'x+1/2,y+1/2,z'
'-x+1/2,-y+1/2,-z'
'-x+1/2,y+1/2,-z'
'x+1/2,-y+1/2,z'
loop_
_atom_site_label
_atom_site_type_symbol
_atom_site_fract_x
_atom_site_fract_y
_atom_site_fract_z
La1 La 0.000 0.000 0.000
La2 La 0.000 0.299 0.500
Y1 Y 0.110 0.292 0.001
Y2 Y 0.137 0.000 0.499
Y3 Y 0.175 0.500 0.502
Er1 Er 0.241 0.000 0.997
```

model a wins, 121 meV per atom ahead of the next structure.

Model a:
Material: La2Y7Er
Method: DFT, PBE-GGA
State: optimized geometry

```
data_La2Y7Er
_symmetry_space_group_name_H-M 'C m m m'
_symmetry_Int_Tables_number 65
_symmetry_space_group_name_Hall '-C 2 2'
_cell_length_a 6.600
_cell_length_b 29.133
_cell_length_c 3.528
_cell_angle_alpha 90.00
_cell_angle_beta 90.00
_cell_angle_gamma 90.00
loop_
_atom_site_label
_atom_site_type_symbol
_atom_site_fract_x
_atom_site_fract_y
_atom_site_fract_z
La1 La 0.000 0.206 0.000
Y1 Y 0.000 0.000 0.000
Y2 Y 0.000 0.315 0.500
Y3 Y 0.244 0.403 0.000
Er1 Er 0.000 0.500 0.500
```

Model b:
Material: La2Y7Er
Method: DFT, PBE-GGA
State: optimized geometry

```
data_La2Y7Er
_symmetry_space_group_name_H-M 'P -1'
_symmetry_Int_Tables_number 2
_cell_length_a 6.219
_cell_length_b 7.202
_cell_length_c 8.053
_cell_angle_alpha 102.87
_cell_angle_beta 97.40
_cell_angle_gamma 106.68
loop_
_symmetry_equiv_pos_as_xyz
'x,y,z'
'-x,-y,-z'
loop_
_atom_site_label
_atom_site_type_symbol
_atom_site_fract_x
_atom_site_fract_y
_atom_site_fract_z
La1 La 0.103 0.202 0.198
Y1 Y 0.099 0.700 0.200
Y2 Y 0.300 0.600 0.599
Y3 Y 0.302 0.101 0.601
Y4 Y 0.500 0.000 0.000
Er1 Er 0.500 0.500 0.000
```

model b wins, 137 meV per atom ahead of the next structure.

Model a:
Material: La8Y2Er
Method: DFT, PBE-GGA
State: optimized geometry

```
data_La8Y2Er
_symmetry_space_group_name_H-M 'C 1 2/m 1'
_symmetry_Int_Tables_number 12
_cell_length_a 9.279
_cell_length_b 16.924
_cell_length_c 6.070
_cell_angle_alpha 90.00
_cell_angle_beta 124.13
_cell_angle_gamma 90.00
loop_
_symmetry_equiv_pos_as_xyz
'x,y,z'
'-x,-y,-z'
'-x,y,-z'
'x,-y,z'
'x+1/2,y+1/2,z'
'-x+1/2,-y+1/2,-z'
'-x+1/2,y+1/2,-z'
'x+1/2,-y+1/2,z'
loop_
_atom_site_label
_atom_site_type_symbol
_atom_site_fract_x
_atom_site_fract_y
_atom_site_fract_z
La1 La 0.000 0.205 0.000
La2 La 0.080 0.500 0.800
La3 La 0.215 0.119 0.686
Y1 Y 0.000 0.311 0.500
Er1 Er 0.000 0.000 0.000
```

Model b:
Material: La8Y2Er
Method: DFT, PBE-GGA
State: optimized geometry

```
data_La8Y2Er
_symmetry_space_group_name_H-M 'I m m m'
_symmetry_Int_Tables_number 71
_symmetry_space_group_name_Hall '-I 2 2'
_cell_length_a 5.814
_cell_length_b 8.213
_cell_length_c 16.585
_cell_angle_alpha 90.00
_cell_angle_beta 90.00
_cell_angle_gamma 90.00
loop_
_atom_site_label
_atom_site_type_symbol
_atom_site_fract_x
_atom_site_fract_y
_atom_site_fract_z
La1 La 0.000 0.000 0.164
La2 La 0.000 0.199 0.367
La3 La 0.000 0.289 0.000
Y1 Y 0.000 0.500 0.203
Er1 Er 0.000 0.500 0.500
```

model b wins, 22 meV per atom ahead of the next structure.

Model a:
Material: LaY4Er7
Method: DFT, PBE-GGA
State: optimized geometry

```
data_LaY4Er7
_symmetry_space_group_name_H-M 'P -1'
_symmetry_Int_Tables_number 2
_cell_length_a 6.681
_cell_length_b 6.963
_cell_length_c 8.759
_cell_angle_alpha 80.50
_cell_angle_beta 76.77
_cell_angle_gamma 77.53
loop_
_symmetry_equiv_pos_as_xyz
'x,y,z'
'-x,-y,-z'
loop_
_atom_site_label
_atom_site_type_symbol
_atom_site_fract_x
_atom_site_fract_y
_atom_site_fract_z
La1 La 0.000 0.000 0.000
Y1 Y 0.187 0.601 0.335
Y2 Y 0.347 0.233 0.683
Er1 Er 0.000 0.500 0.000
Er2 Er 0.186 0.101 0.371
Er3 Er 0.318 0.737 0.668
Er4 Er 0.476 0.254 0.030
```

Model b:
Material: LaY4Er7
Method: DFT, PBE-GGA
State: optimized geometry

```
data_LaY4Er7
_symmetry_space_group_name_H-M 'C 1 2/m 1'
_symmetry_Int_Tables_number 12
_cell_length_a 12.071
_cell_length_b 5.866
_cell_length_c 12.615
_cell_angle_alpha 90.00
_cell_angle_beta 118.00
_cell_angle_gamma 90.00
loop_
_symmetry_equiv_pos_as_xyz
'x,y,z'
'-x,-y,-z'
'-x,y,-z'
'x,-y,z'
'x+1/2,y+1/2,z'
'-x+1/2,-y+1/2,-z'
'-x+1/2,y+1/2,-z'
'x+1/2,-y+1/2,z'
loop_
_atom_site_label
_atom_site_type_symbol
_atom_site_fract_x
_atom_site_fract_y
_atom_site_fract_z
La1 La 0.000 0.000 0.000
Y1 Y 0.128 0.500 0.775
Y2 Y 0.246 0.500 0.315
Er1 Er 0.000 0.500 0.000
Er2 Er 0.057 0.000 0.336
Er3 Er 0.135 0.500 0.505
Er4 Er 0.210 0.000 0.922
```

model a wins, 195 meV per atom ahead of the next structure.

Model a:
Material: La2YEr
Method: DFT, PBE-GGA
State: optimized geometry

```
data_La2YEr
_symmetry_space_group_name_H-M 'C m m m'
_symmetry_Int_Tables_number 65
_symmetry_space_group_name_Hall '-C 2 2'
_cell_length_a 7.409
_cell_length_b 9.938
_cell_length_c 3.718
_cell_angle_alpha 90.00
_cell_angle_beta 90.00
_cell_angle_gamma 90.00
loop_
_atom_site_label
_atom_site_type_symbol
_atom_site_fract_x
_atom_site_fract_y
_atom_site_fract_z
La1 La 0.250 0.250 0.000
Y1 Y 0.000 0.000 0.500
Er1 Er 0.000 0.500 0.500
```

Model b:
Material: La2YEr
Method: DFT, PBE-GGA
State: optimized geometry

```
data_La2YEr
_symmetry_space_group_name_H-M 'R -3 m'
_symmetry_Int_Tables_number 166
_symmetry_space_group_name_Hall '-R 3 2"'
_cell_length_a 3.6577
_cell_length_b 3.6577
_cell_length_c 35.1104
_cell_angle_alpha 90.00
_cell_angle_beta 90.00
_cell_angle_gamma 120.00
loop_
_atom_site_label
_atom_site_type_symbol
_atom_site_fract_x
_atom_site_fract_y
_atom_site_fract_z
La1 La 0.0000 0.0000 0.2492
Y1 Y 0.0000 0.0000 0.0000
Er1 Er 0.0000 0.0000 0.5000
```

Model c:
Material: La2YEr
Method: DFT, PBE-GGA
State: optimized geometry

```
data_La2YEr
_symmetry_space_group_name_H-M 'F m -3 m'
_symmetry_Int_Tables_number 225
_symmetry_space_group_name_Hall '-F 4 2 3'
_cell_length_a 8.208
_cell_length_b 8.208
_cell_length_c 8.208
_cell_angle_alpha 90.00
_cell_angle_beta 90.00
_cell_angle_gamma 90.00
loop_
_atom_site_label
_atom_site_type_symbol
_atom_site_fract_x
_atom_site_fract_y
_atom_site_fract_z
La1 La 0.250 0.250 0.250
Y1 Y 0.000 0.000 0.000
Er1 Er 0.000 0.000 0.500
```

model b wins, 14 meV per atom ahead of the next structure.

Model a:
Material: La2YEr
Method: DFT, PBE-GGA
State: optimized geometry

```
data_La2YEr
_symmetry_space_group_name_H-M 'P 4/m m m'
_symmetry_Int_Tables_number 123
_symmetry_space_group_name_Hall '-P 4 2'
_cell_length_a 5.235
_cell_length_b 5.235
_cell_length_c 4.982
_cell_angle_alpha 90.00
_cell_angle_beta 90.00
_cell_angle_gamma 90.00
loop_
_atom_site_label
_atom_site_type_symbol
_atom_site_fract_x
_atom_site_fract_y
_atom_site_fract_z
La1 La 0.000 0.500 0.000
Y1 Y 0.000 0.000 0.500
Er1 Er 0.500 0.500 0.500
```

Model b:
Material: La2YEr
Method: DFT, PBE-GGA
State: optimized geometry

```
data_La2YEr
_symmetry_space_group_name_H-M 'R 3 m'
_symmetry_Int_Tables_number 160
_symmetry_space_group_name_Hall 'R 3 -2"'
_cell_length_a 3.6507
_cell_length_b 3.6507
_cell_length_c 35.4536
_cell_angle_alpha 90.00
_cell_angle_beta 90.00
_cell_angle_gamma 120.00
loop_
_atom_site_label
_atom_site_type_symbol
_atom_site_fract_x
_atom_site_fract_y
_atom_site_fract_z
La1 La 0.0000 0.0000 0.0000
La2 La 0.0000 0.0000 0.1675
Y1 Y 0.0000 0.0000 0.4163
Er1 Er 0.0000 0.0000 0.5849
```

model a wins, 7 meV per atom ahead of the next structure.